Computed, not measured: a relaxed NaReNi crystal at the PBE level of DFT.

- Energy above the lowest structure with this stoichiometry: 0.0 meV per atom
- Spin magnetization: 0.0 μB per formula unit
- Final energy: -5.094 eV/atom
- Symmetry: F-43m

Cell lengths 4.0974, 4.0974, 4.0974 Å; angles 60.00, 60.00, 60.00 degrees
Closest atoms and distances in Å follow each position.
Element x y z (fractional)
Na: 0.2500 0.2500 0.2500  4 Ni 2.51
Ni: 0.0000 0.0000 0.0000  4 Na 2.51, 4 Re 2.51
Re: 0.7500 0.7500 0.7500  4 Ni 2.51